## LuCoAsO (GGA+U)

Data for a geometry-optimized LuCoAsO structure.

a = 3.7586 Å, b = 5.8698 Å, c = 6.4981 Å
α = 90.00°, β = 90.00°, γ = 90.00°
Last column: nearest neighbours and their distance in Å.
Fractional positions:
As  0.0000  0.7387  0.3287  2 Co 2.45-2.59
As  0.0000  0.2613  0.8287  2 Co 2.45-2.59
Co  0.0000  0.1363  0.4457  2 O 2.05
Co  0.0000  0.8637  0.9457  2 O 2.05
Lu  0.5000  0.4605  0.1032  2 O 2.15-2.23
Lu  0.5000  0.5395  0.6032  2 O 2.15-2.23
O  0.5000  0.2554  0.3764  2 Co 2.05, 2 Lu 2.15-2.23
O  0.5000  0.7446  0.8764  2 Co 2.05, 2 Lu 2.15-2.23

Summary:
- raw total energy (eV per atom) = -6.07
- total moment (μB/f.u.) = 2.93
- offset from the most stable computed form (meV per atom) = 378